No. 1
Material: PbW
Method: DFT, PBE
State: relaxed

Cell lengths 3.407, 5.139, 4.694 Å; angles 90.00, 90.00, 90.00 degrees
Fractional positions:
Pb 0.000 0.000 0.000
Pb 0.500 0.500 0.000
W 0.000 0.500 0.500
W 0.500 0.000 0.500

Computed properties:
formation energy from the elements: 1.307 eV/atom
energy relative to the lowest polymorph listed for this composition: 0.812 eV/atom
D(E_F): 1.04 states/eV per atom

No. 2
Material: CaMg2Ag
Method: DFT, PBE
State: relaxed

Cell lengths 6.163, 10.978, 3.264 Å; angles 90.00, 116.64, 90.00 degrees
Fractional positions:
Ca 0.000 0.000 0.000
Ca 0.500 0.500 0.000
Mg 0.250 0.250 0.500
Mg 0.250 0.750 0.500
Mg 0.750 0.250 0.500
Mg 0.750 0.750 0.500
Ag 0.000 0.500 0.000
Ag 0.500 0.000 0.000

Computed properties:
formation energy from the elements: -0.008 eV/atom
D(E_F): 0.50 states/eV per atom

No. 3
Material: TcAg2Au
Method: DFT, PBE
State: relaxed

Cell lengths 9.632, 2.730, 5.221 Å; angles 90.00, 97.85, 90.00 degrees
Fractional positions:
Tc 0.000 0.000 0.000
Tc 0.500 0.500 0.000
Ag 0.001 0.500 0.503
Ag 0.247 0.500 0.269
Ag 0.501 0.000 0.503
Ag 0.747 0.000 0.269
Au 0.256 0.000 0.780
Au 0.756 0.500 0.780

Computed properties:
formation energy from the elements: 0.407 eV/atom
energy relative to the lowest polymorph listed for this composition: 0.115 eV/atom
D(E_F): 0.77 states/eV per atom

No. 4
Material: Th4MnB3Rh12
Method: DFT, PBE
State: relaxed

Cell lengths 7.520, 7.520, 7.520 Å; angles 109.47, 109.47, 109.47 degrees
Fractional positions:
Th 0.000 0.000 0.500
Th 0.000 0.500 0.000
Th 0.500 0.000 0.000
Th 0.500 0.500 0.500
Mn 0.000 0.000 0.000
B 0.000 0.500 0.500
B 0.500 0.000 0.500
B 0.500 0.500 0.000
Rh 0.000 0.270 0.270
Rh 0.000 0.730 0.730
Rh 0.250 0.500 0.750
Rh 0.250 0.750 0.500
Rh 0.270 0.000 0.270
Rh 0.270 0.270 0.000
Rh 0.500 0.250 0.750
Rh 0.500 0.750 0.250
Rh 0.730 0.000 0.730
Rh 0.730 0.730 0.000
Rh 0.750 0.250 0.500
Rh 0.750 0.500 0.250

Computed properties:
formation energy from the elements: -0.695 eV/atom
D(E_F): 0.12 states/eV per atom

No. 5
Material: Ca2NiIr3
Method: DFT, PBE
State: relaxed

Cell lengths 5.258, 5.258, 5.258 Å; angles 60.92, 60.92, 60.92 degrees
Fractional positions:
Ca 0.124 0.124 0.124
Ca 0.876 0.876 0.876
Ni 0.500 0.500 0.500
Ir 0.000 0.500 0.500
Ir 0.500 0.000 0.500
Ir 0.500 0.500 0.000

Computed properties:
formation energy from the elements: -0.426 eV/atom
D(E_F): 0.95 states/eV per atom

No. 6
Material: MgMn3Si
Method: DFT, PBE
State: relaxed

Cell lengths 4.616, 4.616, 4.616 Å; angles 90.00, 90.00, 90.00 degrees
Fractional positions:
Mg 0.000 0.000 0.000
Mn 0.000 0.000 0.500
Mn 0.000 0.500 0.000
Mn 0.500 0.000 0.000
Si 0.500 0.500 0.500

Computed properties:
formation energy without anion corrections: 1.43 eV/atom
energy relative to the lowest polymorph listed for this composition: 0.996 eV/atom
D(E_F): 0.35 states/eV per atom

No. 7
Material: TbEr2Sc3Sb6
Method: DFT, PBE
State: relaxed

Cell lengths 7.399, 7.399, 7.382 Å; angles 99.61, 99.61, 120.02 degrees
Fractional positions:
Tb 0.000 0.000 0.000
Er 0.333 0.667 0.000
Er 0.667 0.333 0.000
Sc 0.166 0.834 0.500
Sc 0.500 0.500 0.500
Sc 0.834 0.166 0.500
Sb 0.088 0.423 0.264
Sb 0.248 0.248 0.737
Sb 0.423 0.088 0.264
Sb 0.577 0.912 0.736
Sb 0.752 0.752 0.263
Sb 0.912 0.577 0.736

Computed properties:
formation energy without anion corrections: -1.02 eV/atom
D(E_F): 0.17 states/eV per atom

No. 8
Material: Pm2Pr4Pb3O2
Method: DFT, PBE
State: relaxed

Cell lengths 13.600, 13.600, 13.600 Å; angles 159.33, 159.33, 29.39 degrees
Fractional positions:
Pm 0.194 0.194 0.000
Pm 0.806 0.806 0.000
Pr 0.083 0.583 0.500
Pr 0.417 0.917 0.500
Pr 0.583 0.083 0.500
Pr 0.917 0.417 0.500
Pb 0.320 0.320 0.000
Pb 0.500 0.500 0.000
Pb 0.680 0.680 0.000
O 0.104 0.104 0.000
O 0.896 0.896 0.000

Computed properties:
formation energy without anion corrections: -1.35 eV/atom
D(E_F): 0.39 states/eV per atom

Copy entry 1 word for word.
Material: PbW
Method: DFT, PBE
State: relaxed

Cell lengths 3.407, 5.139, 4.694 Å; angles 90.00, 90.00, 90.00 degrees
Fractional positions:
Pb 0.000 0.000 0.000
Pb 0.500 0.500 0.000
W 0.000 0.500 0.500
W 0.500 0.000 0.500

Computed properties:
formation energy from the elements: 1.307 eV/atom
energy relative to the lowest polymorph listed for this composition: 0.812 eV/atom
D(E_F): 1.04 states/eV per atom